# 1
Entry from Alexandria: a relaxed Pr2NdPb2 crystal (PBE).

The offset from the most stable computed form comes out at 122.6 meV/atom. The formation energy comes out at -208 meV/atom.

It has space group P6_3/mmc (No. 194), with a = 5.3032 Å, b = 5.3032 Å, c = 13.4579 Å, α = 90.00°, β = 90.00° and γ = 120.00°. The inequivalent atoms are Pr at (0.0000, 0.0000, 0.0000), Pr at (0.3333, 0.6667, 0.2500), Nd at (0.0000, 0.0000, 0.2500) and Pb at (0.3333, 0.6667, 0.6236).

***

# 2
Entry from Alexandria: a relaxed CeTa2H7 crystal (PBE).

For the energy, the calculation gives -109.00 eV/cell.

It has space group Cmmm (No. 65), with a = 5.380 Å, b = 10.265 Å, c = 3.329 Å, α = 90.00°, β = 90.00° and γ = 90.00°. The inequivalent atoms are Ce at (0.000, 0.000, 0.000), Ta at (0.000, 0.318, 0.500), H at (0.000, 0.400, 0.000), H at (0.000, 0.500, 0.500) and H at (0.161, 0.145, 0.500).

***

# 3
Entry from Alexandria: a relaxed La3Mg7In2 crystal (PBE).

The formation energy comes out at -185 meV/atom.

It has space group R-3m (No. 166, hexagonal axes), with a = 6.1876 Å, b = 6.1876 Å, c = 29.5396 Å, α = 90.00°, β = 90.00° and γ = 120.00°. The inequivalent atoms are La at (0.0000, 0.0000, 0.0000), La at (0.0000, 0.0000, 0.1449), Mg at (0.0000, 0.0000, 0.5000), Mg at (0.0038, 0.5019, 0.9177) and In at (0.0000, 0.0000, 0.3344).

***

# 4
Entry from Alexandria: a relaxed K3NaIn2Cl6 crystal (PBE).

For the uncorrected formation energy, the calculation gives -1771 kJ/mol of formula units.

It has space group C2/m (No. 12), with a = 7.766 Å, b = 13.445 Å, c = 7.668 Å, α = 90.00°, β = 109.87° and γ = 90.00°. The inequivalent atoms are K at (0.000, 0.000, 0.000), K at (0.000, 0.330, 0.000), Na at (0.000, 0.500, 0.500), In at (0.000, 0.165, 0.500), Cl at (0.231, 0.500, 0.259) and Cl at (0.239, 0.343, 0.745).